Density functional theory data (PBE) for NaCa2PrO4 after structural relaxation.

Its total magnetization is 0.0 μB/f.u. For the raw formation energy, the calculation gives -2.74 eV/atom. As for the volume: 118.8 Å³/f.u. The energy is -6.477 eV per atom.

Unit cell a=5.9115 b=3.5226 c=6.0004 alpha=90.00 beta=108.09 gamma=90.00
Space group P2/m (No. 10)
Inequivalent atoms, fractional coordinates:
Na  0.0000  0.0000  0.0000 [1 per cell]
Ca  0.0000  0.5000  0.5000 [1 per cell]
Ca  0.5000  0.0000  0.5000 [1 per cell]
Pr  0.5000  0.5000  0.0000 [1 per cell]
O  0.2584  0.0000  0.7504 [2 per cell]
O  0.2685  0.5000  0.2668 [2 per cell]



Density functional theory data (PBE) for Na2CaPuO4 after structural relaxation.

Its total magnetization is 4.0 μB/f.u. For the raw formation energy, the calculation gives -2.47 eV/atom. As for the volume: 114.7 Å³/f.u. The energy is -7.325 eV per atom.

Unit cell a=5.8925 b=3.4726 c=5.9353 alpha=90.00 beta=109.25 gamma=90.00
Space group P2/m (No. 10)
Inequivalent atoms, fractional coordinates:
Na  0.0000  0.0000  0.0000 [1 per cell]
Na  0.0000  0.5000  0.5000 [1 per cell]
Ca  0.5000  0.0000  0.5000 [1 per cell]
Pu  0.5000  0.5000  0.0000 [1 per cell]
O  0.2831  0.0000  0.7739 [2 per cell]
O  0.2906  0.5000  0.2393 [2 per cell]



Density functional theory data (PBE) for NaCaPu2O8 after structural relaxation.

Its total magnetization is 3.0 μB/f.u. For the raw formation energy, the calculation gives -2.06 eV/atom. As for the volume: 168.0 Å³/f.u. The energy is -8.032 eV per atom.

Unit cell a=5.8414 b=5.8414 c=5.6866 alpha=90.00 beta=90.00 gamma=120.00
Space group P-3 (No. 147)
Inequivalent atoms, fractional coordinates:
Na  0.0000  0.0000  0.0000 [1 per cell]
Ca  0.0000  0.0000  0.5000 [1 per cell]
Pu  0.3333  0.6667  0.9335 [2 per cell]
O  0.0563  0.3677  0.1645 [6 per cell]
O  0.3333  0.6667  0.6047 [2 per cell]



Density functional theory data (PBE) for NaCaRe2O8 after structural relaxation.

Its total magnetization is 0.9 μB/f.u. For the raw formation energy, the calculation gives -1.93 eV/atom. As for the volume: 189.3 Å³/f.u. The energy is -7.582 eV per atom.

Unit cell a=7.4778 b=7.4778 c=6.7716 alpha=90.00 beta=90.00 gamma=90.00
Space group I-4m2 (No. 119)
Inequivalent atoms, fractional coordinates:
Na  0.0000  0.0000  0.0000 [2 per cell]
Ca  0.0000  0.5000  0.2500 [2 per cell]
Re  0.0000  0.0000  0.5000 [2 per cell]
Re  0.0000  0.5000  0.7500 [2 per cell]
O  0.0000  0.1938  0.3469 [8 per cell]
O  0.0000  0.3135  0.9118 [8 per cell]



Density functional theory data (PBE) for Na2CaReO6 after structural relaxation.

Its total magnetization is 1.0 μB/f.u. For the raw formation energy, the calculation gives -1.84 eV/atom. As for the volume: 137.6 Å³/f.u. The energy is -6.521 eV per atom.

Unit cell a=5.6703 b=5.6865 c=5.8617 alpha=118.57 beta=90.45 gamma=119.16
Space group P1 (No. 1)
Inequivalent atoms, fractional coordinates:
Na  0.0000  0.0000  0.0000 [1 per cell]
Na  0.4979  0.9852  0.4977 [1 per cell]
Ca  0.7195  0.4360  0.1752 [1 per cell]
Re  0.2385  0.4611  0.6817 [1 per cell]
O  0.0065  0.3641  0.8882 [1 per cell]
O  0.0503  0.9832  0.4122 [1 per cell]
O  0.3346  0.8765  0.8567 [1 per cell]
O  0.4279  0.5107  0.4296 [1 per cell]
O  0.5232  0.4879  0.8602 [1 per cell]
O  0.8860  0.2752  0.4004 [1 per cell]



Density functional theory data (PBE) for Na4CaRe3O12 after structural relaxation.

Its total magnetization is 2.3 μB/f.u. For the raw formation energy, the calculation gives -1.75 eV/atom. As for the volume: 256.5 Å³/f.u. The energy is -6.951 eV per atom.

Unit cell a=8.0052 b=8.0052 c=8.0052 alpha=90.00 beta=90.00 gamma=90.00
Space group Im-3m (No. 229)
Inequivalent atoms, fractional coordinates:
Na  0.2500  0.2500  0.2500 [8 per cell]
Ca  0.0000  0.0000  0.0000 [2 per cell]
Re  0.0000  0.0000  0.5000 [6 per cell]
O  0.0000  0.0000  0.2716 [12 per cell]
O  0.0000  0.2500  0.5000 [12 per cell]



Density functional theory data (PBE) for Na3Ca2ReO6 after structural relaxation.

Its total magnetization is 2.0 μB/f.u. For the raw formation energy, the calculation gives -2.05 eV/atom. As for the volume: 157.1 Å³/f.u. The energy is -6.230 eV per atom.

Unit cell a=5.7392 b=9.9470 c=5.8311 alpha=90.00 beta=109.32 gamma=90.00
Space group C2/m (No. 12)
Inequivalent atoms, fractional coordinates:
Na  0.0000  0.0000  0.0000 [2 per cell]
Na  0.0000  0.3389  0.0000 [4 per cell]
Ca  0.0000  0.1678  0.5000 [4 per cell]
Re  0.0000  0.5000  0.5000 [2 per cell]
O  0.2170  0.3542  0.7128 [8 per cell]
O  0.2210  0.5000  0.2958 [4 per cell]



Density functional theory data (PBE) for Na2Ca2ReO6 after structural relaxation.

Its total magnetization is 1.0 μB/f.u. For the raw formation energy, the calculation gives -2.13 eV/atom. As for the volume: 160.2 Å³/f.u. The energy is -6.565 eV per atom.

Unit cell a=5.8374 b=9.7737 c=5.8824 alpha=90.00 beta=107.31 gamma=90.00
Space group C2/m (No. 12)
Inequivalent atoms, fractional coordinates:
Na  0.0000  0.1550  0.0000 [4 per cell]
Ca  0.0000  0.3379  0.5000 [4 per cell]
Re  0.0000  0.0000  0.5000 [2 per cell]
O  0.1952  0.1448  0.6942 [8 per cell]
O  0.2192  0.0000  0.3002 [4 per cell]